# BaMnP2S

An optimized crystal structure of BaMnP2S (PBEsol, Alexandria).

POSCAR file:
```
BaMnP2S
1.0
4.403 0.000 0.000
0.000 4.403 0.000
0.000 0.000 5.210
Ba Mn P S
1 1 2 1
Cartesian
0.000 0.000 0.000 Ba
2.202 2.202 2.605 Mn
0.000 2.202 2.605 P
2.202 0.000 2.605 P
2.202 2.202 0.000 S
```

Computed properties:
E   -6.105 eV/atom
E_form (uncorrected)   -0.530 eV per atom
M_tot   1.68 μB/f.u.